Entry 1:
First-principles (GGA-PBEsol) data for TaTiSb2I after structural relaxation, as listed in the Alexandria database.

## Properties
Total moment ... 2.7 μB per formula unit
Energy relative to the elements, uncorrected ... 0.874 eV/atom

Cell and atoms, written as CIF:
```
data_TaTiSb2I
_chemical_formula_sum 'Ta1 Ti1 Sb2 I1'
_cell_length_a 5.2766
_cell_length_b 5.2766
_cell_length_c 5.4809
_cell_angle_alpha 90.00
_cell_angle_beta 90.00
_cell_angle_gamma 90.00
_space_group_name_H-M_alt 'P 4/m m m'
_space_group_IT_number 123
_space_group_name_Hall '-P 4 2'
loop_
_atom_site_label
_atom_site_fract_x
_atom_site_fract_y
_atom_site_fract_z
_atom_site_occupancy
Ta1 0.0000 0.0000 0.0000 1
Ti1 0.5000 0.5000 0.5000 1
Sb1 0.0000 0.5000 0.0000 1
I1 0.0000 0.0000 0.5000 1
```

***

Entry 2:
First-principles (GGA-PBEsol) data for YTaSbI2 after structural relaxation, as listed in the Alexandria database.

## Properties
Total moment ... 3.0 μB per formula unit
Energy relative to the elements, uncorrected ... 0.866 eV/atom

Cell and atoms, written as CIF:
```
data_YTaSbI2
_chemical_formula_sum 'Y1 Ta1 Sb1 I2'
_cell_length_a 5.6241
_cell_length_b 5.6241
_cell_length_c 5.9955
_cell_angle_alpha 90.00
_cell_angle_beta 90.00
_cell_angle_gamma 90.00
_space_group_name_H-M_alt 'P 4/m m m'
_space_group_IT_number 123
_space_group_name_Hall '-P 4 2'
loop_
_atom_site_label
_atom_site_fract_x
_atom_site_fract_y
_atom_site_fract_z
_atom_site_occupancy
Y1 0.0000 0.0000 0.0000 1
Ta1 0.5000 0.5000 0.5000 1
Sb1 0.0000 0.0000 0.5000 1
I1 0.0000 0.5000 0.0000 1
```

***

Entry 3:
First-principles (GGA-PBEsol) data for TaZnSb2I after structural relaxation, as listed in the Alexandria database.

## Properties
Total moment ... 0.0 μB per formula unit
Energy relative to the elements, uncorrected ... 0.532 eV/atom

Cell and atoms, written as CIF:
```
data_TaZnSb2I
_chemical_formula_sum 'Ta1 Zn1 Sb2 I1'
_cell_length_a 5.3043
_cell_length_b 5.3043
_cell_length_c 5.5277
_cell_angle_alpha 90.00
_cell_angle_beta 90.00
_cell_angle_gamma 90.00
_space_group_name_H-M_alt 'P 4/m m m'
_space_group_IT_number 123
_space_group_name_Hall '-P 4 2'
loop_
_atom_site_label
_atom_site_fract_x
_atom_site_fract_y
_atom_site_fract_z
_atom_site_occupancy
Ta1 0.0000 0.0000 0.0000 1
Zn1 0.5000 0.5000 0.5000 1
Sb1 0.0000 0.5000 0.0000 1
I1 0.0000 0.0000 0.5000 1
```

***

Entry 4:
First-principles (GGA-PBEsol) data for Tc3SbI after structural relaxation, as listed in the Alexandria database.

## Properties
Total moment ... 1.5 μB per formula unit
Energy relative to the elements, uncorrected ... 1.979 eV/atom

Cell and atoms, written as CIF:
```
data_Tc3SbI
_chemical_formula_sum 'Tc3 Sb1 I1'
_cell_length_a 4.7829
_cell_length_b 4.7829
_cell_length_c 4.7829
_cell_angle_alpha 90.00
_cell_angle_beta 90.00
_cell_angle_gamma 90.00
_space_group_name_H-M_alt 'P m -3 m'
_space_group_IT_number 221
_space_group_name_Hall '-P 4 2 3'
loop_
_atom_site_label
_atom_site_fract_x
_atom_site_fract_y
_atom_site_fract_z
_atom_site_occupancy
Tc1 0.0000 0.0000 0.5000 1
Sb1 0.5000 0.5000 0.5000 1
I1 0.0000 0.0000 0.0000 1
```

***

Entry 5:
First-principles (GGA-PBEsol) data for TcSbWI2 after structural relaxation, as listed in the Alexandria database.

## Properties
Total moment ... 3.0 μB per formula unit
Energy relative to the elements, uncorrected ... 1.728 eV/atom

Cell and atoms, written as CIF:
```
data_TcSbWI2
_chemical_formula_sum 'Tc1 Sb1 W1 I2'
_cell_length_a 5.2463
_cell_length_b 5.2463
_cell_length_c 5.0758
_cell_angle_alpha 90.00
_cell_angle_beta 90.00
_cell_angle_gamma 90.00
_space_group_name_H-M_alt 'P 4/m m m'
_space_group_IT_number 123
_space_group_name_Hall '-P 4 2'
loop_
_atom_site_label
_atom_site_fract_x
_atom_site_fract_y
_atom_site_fract_z
_atom_site_occupancy
Tc1 0.0000 0.0000 0.0000 1
Sb1 0.0000 0.0000 0.5000 1
W1 0.5000 0.5000 0.5000 1
I1 0.0000 0.5000 0.0000 1
```

***

Entry 6:
First-principles (GGA-PBEsol) data for SbTeI3 after structural relaxation, as listed in the Alexandria database.

## Properties
Total moment ... 2.1 μB per formula unit
Energy relative to the elements, uncorrected ... 0.276 eV/atom

Cell and atoms, written as CIF:
```
data_SbTeI3
_chemical_formula_sum 'Sb1 Te1 I3'
_cell_length_a 5.8873
_cell_length_b 5.8873
_cell_length_c 5.8873
_cell_angle_alpha 90.00
_cell_angle_beta 90.00
_cell_angle_gamma 90.00
_space_group_name_H-M_alt 'P m -3 m'
_space_group_IT_number 221
_space_group_name_Hall '-P 4 2 3'
loop_
_atom_site_label
_atom_site_fract_x
_atom_site_fract_y
_atom_site_fract_z
_atom_site_occupancy
Sb1 0.0000 0.0000 0.0000 1
Te1 0.5000 0.5000 0.5000 1
I1 0.0000 0.0000 0.5000 1
```

***

Entry 7:
First-principles (GGA-PBEsol) data for SbTeI after structural relaxation, as listed in the Alexandria database.

## Properties
Total moment ... 0.0 μB per formula unit
Energy relative to the elements, uncorrected ... -0.215 eV/atom

Cell and atoms, written as CIF:
```
data_SbTeI
_chemical_formula_sum 'Sb4 Te4 I4'
_cell_length_a 13.7456
_cell_length_b 4.2053
_cell_length_c 9.1537
_cell_angle_alpha 90.00
_cell_angle_beta 128.99
_cell_angle_gamma 90.00
_space_group_name_H-M_alt 'C 1 2/m 1'
_space_group_IT_number 12
_space_group_name_Hall '-C 2y'
loop_
_atom_site_label
_atom_site_fract_x
_atom_site_fract_y
_atom_site_fract_z
_atom_site_occupancy
Sb1 0.1319 0.0000 0.2490 1
Te1 0.1745 0.0000 0.5969 1
I1 0.0807 0.5000 0.8665 1
```

***

Entry 8:
First-principles (GGA-PBEsol) data for TiSbTe2I after structural relaxation, as listed in the Alexandria database.

## Properties
Total moment ... 1.7 μB per formula unit
Energy relative to the elements, uncorrected ... 1.202 eV/atom

Cell and atoms, written as CIF:
```
data_TiSbTe2I
_chemical_formula_sum 'Ti1 Sb1 Te2 I1'
_cell_length_a 5.6564
_cell_length_b 5.6564
_cell_length_c 5.6420
_cell_angle_alpha 90.00
_cell_angle_beta 90.00
_cell_angle_gamma 90.00
_space_group_name_H-M_alt 'P 4/m m m'
_space_group_IT_number 123
_space_group_name_Hall '-P 4 2'
loop_
_atom_site_label
_atom_site_fract_x
_atom_site_fract_y
_atom_site_fract_z
_atom_site_occupancy
Ti1 0.0000 0.0000 0.0000 1
Sb1 0.5000 0.5000 0.0000 1
Te1 0.0000 0.5000 0.5000 1
I1 0.5000 0.5000 0.5000 1
```